# Ac2UMn3O12

A relaxed structure of Ac2UMn3O12 (GGA+U, Alexandria).

a b c (Å): 6.6575 6.6575 6.6575
angles (deg): 62.73 62.73 62.73
Atoms (fractional coordinates):
Ac  0.1130  0.1130  0.1130
Ac  0.8870  0.8870  0.8870
U  0.5000  0.5000  0.5000
Mn  0.0000  0.5000  0.5000
Mn  0.5000  0.0000  0.5000
Mn  0.5000  0.5000  0.0000
O  0.0903  0.6358  0.6358
O  0.2277  0.2277  0.6273
O  0.2277  0.6273  0.2277
O  0.3642  0.3642  0.9097
O  0.3642  0.9097  0.3642
O  0.3727  0.7723  0.7723
O  0.6273  0.2277  0.2277
O  0.6358  0.0903  0.6358
O  0.6358  0.6358  0.0903
O  0.7723  0.3727  0.7723
O  0.7723  0.7723  0.3727
O  0.9097  0.3642  0.3642

Summary:
N(E_F), states/eV per atom: 0.026
Total energy, eV per atom: -7.81
Total moment, μB per cell: 9.019
Symmetry: R-3m, No. 166